1.
Here is a geometry-optimized Pm2DyTh2 structure from Alexandria. Energies are from PBE.

Lattice parameters (Å, degrees): 3.6067 3.6067 43.8313 90.00 90.00 120.00
Space group R-3m (No. 166, hexagonal axes)
Unique sites:
Pm1 0.0000 0.0000 0.2028 (multiplicity 6)
Dy1 0.0000 0.0000 0.0000 (multiplicity 3)
Th1 0.0000 0.0000 0.3989 (multiplicity 6)

Output
For the density of states at the Fermi level, the calculation gives 21.509 states/eV per cell. The volume is 32.9 Å³ per atom. The calculation puts the total energy at -5.758 eV/atom. Its size of the total moment is 0.00 μB/cell. For the energy relative to the lowest polymorph listed for this composition, the calculation gives 0 meV/atom.

=====

2.
Here is a geometry-optimized CoReC2 structure from Alexandria. Energies are from PBE.

Lattice parameters (Å, degrees): 4.499 4.499 8.847 90.00 90.00 90.00
Space group I-42d (No. 122)
Unique sites:
Co1 0.000 0.000 0.000 (multiplicity 4)
Re1 0.000 0.000 0.500 (multiplicity 4)
C1 0.236 0.250 0.125 (multiplicity 8)

Output
For the density of states at the Fermi level, the calculation gives 5.453 states/eV per cell. The volume is 11.2 Å³ per atom. The calculation puts the total energy at -8.915 eV/atom. Its size of the total moment is 0.00 μB/cell. For the energy relative to the lowest polymorph listed for this composition, the calculation gives 0 meV/atom.

=====

3.
Here is a geometry-optimized CePu2Np3P6 structure from Alexandria. Energies are from PBE.

Lattice parameters (Å, degrees): 6.909 11.945 6.916 90.00 109.44 90.00
Space group C2/m (No. 12)
Unique sites:
Ce1 0.000 0.000 0.000 (multiplicity 2)
Pu1 0.000 0.333 0.000 (multiplicity 4)
Np1 0.000 0.165 0.500 (multiplicity 4)
Np2 0.000 0.500 0.500 (multiplicity 2)
P1 0.246 0.331 0.744 (multiplicity 8)
P2 0.247 0.500 0.255 (multiplicity 4)

Output
For the density of states at the Fermi level, the calculation gives 94.461 states/eV per cell. The volume is 22.4 Å³ per atom. The calculation puts the total energy at -9.855 eV/atom. Its size of the total moment is 13.65 μB/cell.

=====

In eV/atom, the ΔH_f (0 K) values for the records above are, in order, 0.03, 0.59, -1.03.